Entry 1:
A plane-wave DFT calculation with PBE was carried out for an optimized crystal structure of Hf7Zr12Sc.

POSCAR file:
```
Hf7Zr12Sc
1.0
7.5513 0.9736 1.4613
-1.1645 7.5242 1.4613
-1.1645 -1.5494 7.5065
Hf Zr Sc
7 12 1
Cartesian
4.5913 3.9837 9.1643
2.6723 0.6164 1.8072
-0.1510 0.6131 3.2231
2.6111 3.4742 5.2146
5.3732 6.3353 7.2061
2.5499 6.3320 8.6220
0.6309 2.9646 1.2649
5.4254 1.7349 7.1092
5.0644 2.5806 2.4364
4.0194 0.9301 4.8285
5.4464 4.0790 4.7678
1.0706 0.0984 6.0900
2.4037 1.9481 7.7111
2.8185 5.0003 2.7181
4.1516 6.8499 4.3392
-0.2242 2.8693 5.6614
1.2029 6.0182 5.6007
0.1579 4.3677 7.9927
-0.2032 5.2135 3.3199
0.0000 0.0000 0.0000
```

Results
energy of formation	4.82	eV per formula unit
total moment	0.000	μB per cell

Entry 2:
A plane-wave DFT calculation with PBE was carried out for an optimized crystal structure of HfZr7Sc12.

POSCAR file:
```
HfZr7Sc12
1.0
3.9805 -9.3680 -9.9383
4.1998 -0.8554 4.5397
-4.3994 -3.2713 2.9884
Hf Zr Sc
1 7 12
Cartesian
0.0000 0.0000 0.0000
4.0901 -5.1117 -2.6993
-0.0998 -2.0634 3.7641
-0.2094 -6.3197 -3.4749
1.8905 -6.7474 -1.2051
-2.1997 -1.6357 1.4942
1.9902 -4.6840 -4.9692
2.0999 -0.4277 2.2699
1.1223 -5.9537 1.6613
5.3143 -9.0083 -4.8056
2.6586 -7.5410 -4.0715
-1.5334 -4.4865 2.3955
3.3328 -8.4141 -7.1750
3.2235 -10.6398 -3.1199
0.4481 -5.0807 4.7649
0.5574 -2.8550 0.7097
4.6456 -8.1206 -1.7128
-0.8646 -5.3741 -0.6973
0.3554 -9.1825 -2.7493
3.4255 -4.3123 0.3392
```

Results
energy of formation	7.96	eV per formula unit
total moment	0.000	μB per cell

Entry 3:
A plane-wave DFT calculation with PBE was carried out for an optimized crystal structure of Hf2Se3.

POSCAR file:
```
Hf2Se3
1.0
6.4363 0.0018 0.0024
3.2228 5.5713 0.0024
3.2257 1.8612 12.6415
Hf Se
8 12
Cartesian
2.6778 0.9171 2.9193
3.7470 2.7899 9.2401
2.6861 0.9298 6.3062
9.1288 4.6524 6.3050
5.9013 2.7912 6.3066
6.9829 4.6426 12.6273
3.7622 2.7907 12.6269
10.2095 6.5052 12.6258
5.9238 2.7892 10.9830
9.1282 4.6635 10.9613
5.9121 6.4917 10.9572
6.9931 4.6381 4.6405
6.9662 0.9388 4.6364
3.7667 2.8019 4.6623
4.7904 4.5516 1.6254
4.9204 0.9285 1.6259
8.0077 2.8728 1.6294
4.8793 4.7257 7.9467
8.1077 6.4253 7.9502
7.9510 2.7998 7.9462
```

Results
ΔE_f (raw)	-1283	meV/atom
total moment	0.000	μB per cell

Entry 4:
A plane-wave DFT calculation with PBE was carried out for an optimized crystal structure of Hf4Se.

POSCAR file:
```
Hf4Se
1.0
-3.4191 1.9361 5.3579
1.3576 -6.3131 -1.5646
6.0465 2.5019 1.1908
Hf Se
8 2
Cartesian
2.9858 -0.1139 3.4878
0.1731 -3.5153 3.0166
2.6890 3.4913 5.0960
1.4589 -5.0204 -0.4117
1.9982 -1.7877 1.1204
4.5381 -3.8660 0.1027
4.8056 -1.0751 0.8768
-0.6161 -0.3657 3.7309
-0.6808 -1.4455 1.2528
1.1483 1.8677 3.5788
```

Results
ΔE to the lowest computed polymorph	0	meV/atom
ΔE_f (raw)	-419	meV/atom
total moment	0.000	μB per cell

Entry 5:
A plane-wave DFT calculation with PBE was carried out for an optimized crystal structure of Hf2Se.

POSCAR file:
```
Hf2Se
1.0
-1.8833 0.5128 -2.7664
-1.8433 -2.5329 -1.2862
-5.5054 -0.1531 3.7195
Hf Se
2 1
Cartesian
-5.8030 -1.1461 1.6433
-3.3900 -1.0235 -2.0490
-3.6750 0.1817 0.4402
```

Results
ΔE_f (raw)	-622	meV/atom
total moment	0.000	μB per cell

Entry 6:
A plane-wave DFT calculation with PBE was carried out for an optimized crystal structure of Hf23Se25.

POSCAR file:
```
Hf23Se25
1.0
-2.9469 -6.9645 -2.3973
6.8974 -2.1911 3.4374
-9.1768 -0.4852 12.8977
Hf Se
23 25
Cartesian
-2.8522 -4.4584 14.3880
-5.5273 -7.9542 11.8502
-0.4044 -3.0696 12.3214
-5.1850 -4.4047 11.6496
-10.0846 -5.7525 11.1665
-3.0966 -6.3864 9.7531
-7.8318 -7.8979 9.0737
-2.8027 -2.9212 9.5921
-7.5871 -4.2954 8.9841
-0.7111 -4.8830 7.7071
-5.4481 -6.3551 7.0341
1.5222 -7.0337 5.6500
-0.3814 -1.4029 7.4890
-5.2488 -2.8657 6.9092
-3.0620 -4.9009 4.9689
1.7831 -3.4668 5.5291
-0.8738 -6.9042 2.9809
-2.7163 -1.3334 4.7521
3.9053 -5.5053 3.5824
4.2057 -1.9679 3.4081
-0.6156 -3.4211 2.8711
-3.3029 -6.7823 0.3187
1.4391 -5.4356 0.9225
-4.9908 -6.0868 13.7666
-4.6888 -2.5938 13.6340
-2.5088 -4.6248 11.7002
-7.3491 -6.0447 11.0955
-9.1547 -0.5035 12.9017
-5.1236 -8.0794 9.1577
-7.0556 -2.5301 11.0009
-0.0680 -3.0774 9.5983
-4.8981 -4.5486 8.9779
-9.6873 -5.9791 8.4195
-4.5884 -0.9978 8.8007
-2.7311 -6.6071 7.0552
-0.6373 -8.6177 5.1076
-7.2861 -4.5191 6.2793
-2.5091 -3.0244 6.8688
-5.1760 -6.5040 4.3543
-0.3218 -5.1192 4.9977
1.8055 -7.1283 2.9719
-0.0279 -1.5773 4.7726
2.0290 -5.1778 7.6387
-2.6940 -5.0130 2.2732
2.1085 -3.5836 2.8307
-0.5841 -7.0965 0.2676
-2.3857 -1.5009 2.0839
-0.2620 -3.4579 0.1581
```

Results
ΔE_f (raw)	-1166	meV/atom
total moment	0.007	μB per cell

Entry 7:
A plane-wave DFT calculation with PBE was carried out for an optimized crystal structure of Hf5Se2.

POSCAR file:
```
Hf5Se2
1.0
-1.6002 -2.5966 5.0643
0.0434 -5.5538 -2.8339
8.3549 0.9043 -0.3470
Hf Se
10 4
Cartesian
1.4054 -2.6702 -0.4173
5.1356 -2.1811 4.4628
4.3791 -3.8842 -1.5704
2.8871 -5.4145 0.6241
2.4191 -3.3619 3.4538
3.9110 -1.8316 1.2592
1.6625 -5.0651 -2.5795
5.3928 -4.5759 2.3006
-0.9925 -3.0166 2.4669
-0.5643 -5.1339 -0.2365
6.0735 -2.1540 -0.2534
1.1983 -1.5115 1.9862
0.7247 -5.0921 2.1368
5.5999 -5.7347 -0.1029
```

Results
ΔE_f (raw)	-536	meV/atom
total moment	0.000	μB per cell

Entry 8:
A plane-wave DFT calculation with PBE was carried out for an optimized crystal structure of HfSe4.

POSCAR file:
```
HfSe4
1.0
-4.6631 0.8973 -2.0185
-0.2288 -4.8857 -1.6435
-2.1971 -1.3958 4.4551
Hf Se
1 4
Cartesian
-3.5445 -2.6921 0.3966
0.0000 0.0000 0.0000
-3.4301 -0.2492 1.2183
-1.2129 -3.1408 1.4058
-2.4459 -1.9942 -1.8310
```

Results
ΔE_f (raw)	-72	meV/atom
total moment	1.234	μB per cell

Record order is preserved below.
Fermi-level density of states: 31.5; 32.5; 2.3; 1.7; 1.6; 18.7; 5.8; 6.4 states/eV/f.u.